Here is a geometry-optimized Tc2P3 structure from OQMD via LeMat-Bulk. Energies are from PBE.

Summary:
Total moment ... 0.0001 μB/atom
Total energy ... -158.63 eV per cell

abc: 6.2943 6.3668 7.7208
angles: 95.79 101.68 104.30
Closest atoms and distances in Å follow each position.
Element x y z (fractional)
P 0.4628 0.8170 0.0368  1 P 2.41, 3 Tc 2.43-2.45
P 0.9666 0.8218 0.0429  1 P 2.39, 3 Tc 2.39-2.43
P 0.8617 0.1353 0.3187  4 Tc 2.32-2.44
P 0.3705 0.1509 0.3223  4 Tc 2.30-2.41
P 0.7357 0.5766 0.3625  1 P 2.24, 4 Tc 2.42-2.46
P 0.2348 0.5620 0.3810  1 P 2.24, 4 Tc 2.38-2.43
P 0.7652 0.4380 0.6190  1 P 2.24, 4 Tc 2.38-2.43
P 0.2643 0.4234 0.6375  1 P 2.24, 4 Tc 2.42-2.46
P 0.6295 0.8491 0.6777  4 Tc 2.30-2.41
P 0.1383 0.8647 0.6813  4 Tc 2.32-2.44
P 0.0334 0.1782 0.9571  1 P 2.39, 3 Tc 2.39-2.43
P 0.5372 0.1830 0.9632  1 P 2.41, 3 Tc 2.43-2.45
Tc 0.3788 0.4157 0.1404  5 P 2.30-2.45
Tc 0.9016 0.4144 0.1460  5 P 2.32-2.45
Tc 0.5375 0.8616 0.3616  6 P 2.35-2.44
Tc 0.0773 0.8684 0.3681  6 P 2.35-2.46
Tc 0.9227 0.1316 0.6319  6 P 2.35-2.46
Tc 0.4625 0.1384 0.6384  6 P 2.35-2.44
Tc 0.0984 0.5856 0.8540  5 P 2.32-2.45
Tc 0.6212 0.5843 0.8596  5 P 2.30-2.45